A relaxed structure of LiY2Ga3Cu12. Source: Alexandria via LeMat-Bulk, functional PBE-GGA.

Results
For the total energy, the calculation gives -3.9693 eV/atom. For the formation energy, the calculation gives 0.09 eV/atom. As for the density of states at the Fermi level: 0.581 states/eV per atom. Its space group is R-3m, No. 166.

```
LiY2Ga3Cu12
1.0
-2.5223 6.9657 -8.9016
-2.5532 1.9880 -11.1198
-6.9419 3.8092 -8.4511
Cu Ga Y Li
12 3 2 1
Cartesian
-9.4212 10.3715 -19.7578 Cu
-7.2024 9.4507 -21.1070 Cu
-6.0121 4.4295 -12.9098 Cu
-2.5806 4.9081 -7.5932 Cu
-3.9960 5.8694 -13.1152 Cu
-6.0053 8.3334 -15.5627 Cu
-8.0214 6.8935 -15.3572 Cu
-2.5962 2.3914 -8.7147 Cu
-4.8151 3.3122 -7.3654 Cu
-5.9980 6.7002 -11.8978 Cu
-6.0194 6.0627 -16.5746 Cu
-9.4368 7.8548 -20.8793 Cu
-1.2766 0.9940 -5.5599 Ga
-3.4709 1.9046 -4.2256 Ga
-1.2612 3.4828 -4.4508 Ga
-4.2981 4.5647 -10.1832 Y
-7.7194 8.1982 -18.2892 Y
0.0000 0.0000 0.0000 Li
```


A relaxed structure of Li3Y2GaCu12. Source: Alexandria via LeMat-Bulk, functional PBE-GGA.

Results
For the total energy, the calculation gives -3.8817 eV/atom. For the formation energy, the calculation gives 0.05 eV/atom. As for the density of states at the Fermi level: 0.575 states/eV per atom. Its space group is R-3m, No. 166.

```
Li3Y2GaCu12
1.0
-11.3962 2.2348 -1.9684
-11.5400 -1.9645 1.3076
-10.9205 2.9416 3.2910
Li Cu Ga Y
3 12 1 2
Cartesian
-5.7700 -0.9823 0.6538 Li
-5.6981 1.1174 -0.9842 Li
-5.4603 1.4708 1.6455 Li
-18.9263 0.3730 1.6615 Cu
-14.9973 0.8863 2.4920 Cu
-14.9304 2.8389 0.9687 Cu
-15.2184 0.5577 0.0465 Cu
-24.6971 1.3883 0.6949 Cu
-18.6383 2.6542 2.5837 Cu
-18.8594 2.3256 0.1382 Cu
-9.3979 1.4695 -0.6996 Cu
-9.1596 1.8236 1.9353 Cu
-24.4588 1.7424 3.3298 Cu
-9.4700 -0.6343 0.9417 Cu
-24.3867 3.8461 1.6885 Cu
0.0000 0.0000 0.0000 Ga
-12.0682 1.1449 0.9375 Y
-21.7885 2.0670 1.6927 Y
```


A relaxed structure of LiY2GaCu6. Source: Alexandria via LeMat-Bulk, functional PBE-GGA.

Results
For the total energy, the calculation gives -4.3596 eV/atom. For the formation energy, the calculation gives -0.12 eV/atom. As for the density of states at the Fermi level: 0.627 states/eV per atom. Its space group is P-1, No. 2.

```
LiY2GaCu6
1.0
4.9441 -0.0088 0.0122
0.0194 8.5570 -0.0230
2.4740 4.2430 4.0949
Cu Ga Y Li
6 1 2 1
Cartesian
6.2033 10.6397 4.0636 Cu
1.2340 2.1515 0.0206 Cu
3.7274 10.6472 4.0594 Cu
4.9542 6.9786 2.0574 Cu
3.7100 2.1439 0.0247 Cu
2.4832 5.8125 2.0267 Cu
0.0000 0.0000 0.0000 Ga
2.4877 8.8150 1.9643 Y
4.9497 3.9761 2.1198 Y
2.4817 4.2741 -0.0054 Li
```


A relaxed structure of Li2ZnGa2Cu7. Source: Alexandria via LeMat-Bulk, functional PBE-GGA.

Results
For the total energy, the calculation gives -3.3634 eV/atom. For the formation energy, the calculation gives -0.04 eV/atom. As for the density of states at the Fermi level: 0.233 states/eV per atom. Its space group is C2/m, No. 12.

```
Li2ZnGa2Cu7
1.0
3.7313 0.0340 0.2898
0.0386 3.7313 0.2895
2.8430 2.8388 12.0067
Ga Zn Cu Li
2 1 7 2
Cartesian
3.1228 3.1181 8.4939 Ga
3.4901 3.4860 4.0921 Ga
0.0000 0.0000 0.0000 Zn
2.4343 2.4310 6.1583 Cu
1.7637 3.6063 2.2020 Cu
4.1785 4.1731 6.4277 Cu
4.8492 2.9978 10.3840 Cu
1.8849 1.8827 0.2896 Cu
3.6083 1.7593 2.2021 Cu
3.0045 4.8448 10.3839 Cu
5.0215 5.0145 8.6585 Li
1.5914 1.5896 3.9275 Li
```


A relaxed structure of LiZn2GaCu5. Source: Alexandria via LeMat-Bulk, functional PBE-GGA.

Results
For the total energy, the calculation gives -3.2073 eV/atom. For the formation energy, the calculation gives -0.10 eV/atom. As for the density of states at the Fermi level: 0.246 states/eV per atom. Its space group is Cmc2_1, No. 36.

```
LiZn2GaCu5
1.0
3.8651 0.0000 0.0000
-1.9326 5.9112 0.0000
0.0000 0.0000 10.1682
Cu Zn Ga Li
10 4 2 2
Cartesian
0.0000 2.9868 6.0208 Cu
0.0000 4.9495 0.9392 Cu
1.9326 0.9617 6.0233 Cu
0.0000 4.9171 7.6906 Cu
0.0000 2.9621 2.6249 Cu
0.0000 1.0316 0.9591 Cu
1.9326 4.8796 6.0432 Cu
1.9326 2.9491 7.7091 Cu
1.9326 0.9941 2.6065 Cu
1.9326 2.9244 0.9367 Cu
1.9326 4.9648 9.4246 Zn
0.0000 0.9464 4.3404 Zn
0.0000 0.9628 7.6208 Zn
1.9326 4.9484 2.5367 Zn
0.0000 2.9694 9.4285 Ga
1.9326 2.9418 4.3444 Ga
0.0000 4.9308 4.3427 Li
1.9326 0.9804 9.4268 Li
```


A relaxed structure of LiZnGa4Cu2. Source: Alexandria via LeMat-Bulk, functional PBE-GGA.

Results
For the total energy, the calculation gives -2.8549 eV/atom. For the formation energy, the calculation gives 0.08 eV/atom. As for the density of states at the Fermi level: 0.607 states/eV per atom. Its space group is P4/mmm, No. 123.

```
LiZnGa4Cu2
1.0
3.6759 0.0000 0.0000
0.0000 3.6759 0.0000
0.0000 0.0000 10.2815
Ga Cu Li Zn
4 2 1 1
Cartesian
0.0000 1.8380 2.1233 Ga
0.0000 1.8380 8.1582 Ga
1.8380 0.0000 8.1582 Ga
1.8380 0.0000 2.1233 Ga
1.8380 1.8380 3.9575 Cu
1.8380 1.8380 6.3241 Cu
0.0000 0.0000 0.0000 Li
0.0000 0.0000 5.1408 Zn
```


A relaxed structure of LiZnGa2Cu5. Source: Alexandria via LeMat-Bulk, functional PBE-GGA.

Results
For the total energy, the calculation gives -3.3580 eV/atom. For the formation energy, the calculation gives -0.06 eV/atom. As for the density of states at the Fermi level: 0.158 states/eV per atom. Its space group is Cmc2_1, No. 36.

```
LiZnGa2Cu5
1.0
-3.3746 -0.2933 0.6787
3.1366 -0.1653 6.7322
-0.7617 10.1626 0.6045
Ga Li Cu Zn
4 2 10 2
Cartesian
0.0552 3.5884 1.8250 Ga
-0.7305 1.3272 5.7339 Ga
-0.1443 6.7102 2.1823 Ga
-1.2225 8.3529 6.3234 Ga
-1.3616 4.7035 4.0550 Li
-0.0069 9.9211 4.2530 Li
-0.8792 5.8182 6.9353 Cu
1.2884 -0.1194 6.3548 Cu
0.4187 6.7315 4.9908 Cu
-1.6315 7.5673 3.9503 Cu
1.2284 2.4002 7.1453 Cu
0.0867 1.1208 0.9156 Cu
-1.9313 5.0631 1.3774 Cu
-2.2533 7.6391 0.8899 Cu
-1.3152 1.5955 2.9427 Cu
0.5973 2.5980 4.0925 Cu
-2.0789 9.4623 2.5450 Zn
0.7705 4.3595 5.7152 Zn
```


A relaxed structure of Li2Zn2GaCu5. Source: Alexandria via LeMat-Bulk, functional PBE-GGA.

Results
For the total energy, the calculation gives -3.0475 eV/atom. For the formation energy, the calculation gives -0.06 eV/atom. As for the density of states at the Fermi level: 0.355 states/eV per atom. Its space group is P4/mbm, No. 127.

```
Li2Zn2GaCu5
1.0
3.9209 0.0000 0.0000
0.0000 8.4036 0.0000
0.0000 0.0000 8.4036
Zn Li Cu Ga
4 4 10 2
Cartesian
0.0000 5.2348 7.3706 Zn
0.0000 3.1688 1.0330 Zn
0.0000 1.0330 5.2348 Zn
0.0000 7.3706 3.1688 Zn
0.0000 5.6566 1.4548 Li
0.0000 1.4548 2.7469 Li
0.0000 6.9487 5.6566 Li
0.0000 2.7469 6.9487 Li
1.9605 0.0000 4.2018 Cu
1.9605 4.2018 0.0000 Cu
1.9605 2.5402 4.8543 Cu
1.9605 4.8543 5.8633 Cu
1.9605 6.7420 7.7510 Cu
1.9605 3.5493 2.5402 Cu
1.9605 5.8633 3.5493 Cu
1.9605 1.6615 0.6525 Cu
1.9605 0.6525 6.7420 Cu
1.9605 7.7510 1.6615 Cu
0.0000 4.2018 4.2018 Ga
0.0000 0.0000 0.0000 Ga
```


A relaxed structure of Lu3Ga8Cu3. Source: Alexandria via LeMat-Bulk, functional PBE-GGA.

Results
For the total energy, the calculation gives -4.0133 eV/atom. For the formation energy, the calculation gives -0.44 eV/atom. As for the density of states at the Fermi level: 0.273 states/eV per atom. Its space group is Immm, No. 71.

```
Lu3Ga8Cu3
1.0
-2.1152 4.6851 6.0871
2.1152 -4.6851 6.0871
2.1152 4.6851 -6.0871
Ga Cu Lu
8 3 3
Cartesian
2.1152 1.2635 1.8686 Ga
0.0000 6.6487 1.5968 Ga
0.0000 2.7216 1.5968 Ga
2.1152 -1.9636 4.4903 Ga
2.1152 -1.2635 1.8686 Ga
2.1152 1.9636 4.4903 Ga
0.0000 3.4217 4.2185 Ga
0.0000 5.9486 4.2185 Ga
2.1152 2.9890 0.0000 Cu
0.0000 4.6851 0.0000 Cu
0.0000 1.6962 6.0871 Cu
0.0000 0.0000 8.5016 Lu
0.0000 0.0000 3.6727 Lu
0.0000 0.0000 0.0000 Lu
```


A relaxed structure of LuGa2Cu. Source: Alexandria via LeMat-Bulk, functional PBE-GGA.

Results
For the total energy, the calculation gives -3.9462 eV/atom. For the formation energy, the calculation gives -0.28 eV/atom. As for the density of states at the Fermi level: 0.377 states/eV per atom. Its space group is P4/mmm, No. 123.

```
LuGa2Cu
1.0
3.2444 0.0000 0.0000
0.0000 3.2444 0.0000
0.0000 0.0000 6.6965
Ga Cu Lu
2 1 1
Cartesian
0.0000 0.0000 1.3614 Ga
0.0000 0.0000 5.3350 Ga
1.6222 1.6222 0.0000 Cu
1.6222 1.6222 3.3482 Lu
```


A relaxed structure of LuGa2Cu. Source: Alexandria via LeMat-Bulk, functional PBE-GGA.

Results
For the total energy, the calculation gives -3.9511 eV/atom. For the formation energy, the calculation gives -0.28 eV/atom. As for the density of states at the Fermi level: 0.203 states/eV per atom. Its space group is Fm-3m, No. 225.

```
LuGa2Cu
1.0
4.6454 0.0000 0.0000
2.3227 4.0231 0.0000
2.3227 1.3410 3.7930
Ga Lu Cu
2 1 1
Cartesian
2.3227 1.3410 0.9482 Ga
6.9681 4.0231 2.8447 Ga
0.0000 0.0000 0.0000 Lu
4.6454 2.6820 1.8965 Cu
```


A relaxed structure of LuGaCu2. Source: Alexandria via LeMat-Bulk, functional PBE-GGA.

Results
For the total energy, the calculation gives -4.1217 eV/atom. For the formation energy, the calculation gives -0.19 eV/atom. As for the density of states at the Fermi level: 0.650 states/eV per atom. Its space group is P4/mmm, No. 123.

```
LuGaCu2
1.0
-3.4462 0.6791 1.4649
-1.6713 -2.8556 -2.6079
0.6338 -3.0048 2.8840
Cu Ga Lu
2 1 1
Cartesian
0.3169 -1.5024 1.4420 Cu
-0.8357 -1.4278 -1.3039 Cu
-1.7231 0.3396 0.7325 Ga
-2.2419 -2.5906 0.8705 Lu
```


A relaxed structure of Lu2GaCu. Source: Alexandria via LeMat-Bulk, functional PBE-GGA.

Results
For the energy above the lowest structure with this stoichiometry, the calculation gives 0 meV/atom. For the total energy, the calculation gives -4.4868 eV/atom. For the formation energy, the calculation gives -0.45 eV/atom. As for the density of states at the Fermi level: 0.591 states/eV per atom. Its space group is Fm-3m, No. 225.

```
Lu2GaCu
1.0
-2.6146 -3.4962 2.1935
1.2735 -4.6888 -0.5141
1.8844 -2.4487 3.7847
Cu Lu Ga
1 2 1
Cartesian
0.0000 0.0000 0.0000 Cu
0.1358 -2.6584 1.3660 Lu
0.4075 -7.9753 4.0980 Lu
0.2717 -5.3169 2.7320 Ga
```


A relaxed structure of Lu2GaCu. Source: Alexandria via LeMat-Bulk, functional PBE-GGA.

Results
For the energy above the lowest structure with this stoichiometry, the calculation gives 4 meV/atom. For the total energy, the calculation gives -4.4829 eV/atom. For the formation energy, the calculation gives -0.44 eV/atom. As for the density of states at the Fermi level: 0.584 states/eV per atom. Its space group is P4/mmm, No. 123.

```
Lu2GaCu
1.0
-2.4943 -1.9226 -1.3089
1.5112 -2.7986 1.2310
-3.6602 0.6632 6.0010
Ga Cu Lu
1 1 2
Cartesian
-2.3216 -2.0290 2.9616 Ga
-0.4915 -2.3606 -0.0389 Cu
-0.8751 0.1586 1.4347 Lu
-2.7851 0.5046 4.5662 Lu
```


A relaxed structure of LuGa2Cu. Source: Alexandria via LeMat-Bulk, functional PBE-GGA.

Results
For the total energy, the calculation gives -4.0315 eV/atom. For the formation energy, the calculation gives -0.36 eV/atom. As for the density of states at the Fermi level: 0.411 states/eV per atom. Its space group is P4/mmm, No. 123.

```
LuGa2Cu
1.0
-4.0942 -0.6296 0.2607
0.2176 -2.7014 -3.1067
0.6409 -3.0509 2.6978
Ga Lu Cu
2 1 1
Cartesian
0.1088 -1.3507 -1.5533 Ga
0.3205 -1.5254 1.3489 Ga
-1.6179 -3.1909 -0.0741 Lu
-2.0471 -0.3148 0.1303 Cu
```


A relaxed structure of LuGaCu2. Source: Alexandria via LeMat-Bulk, functional PBE-GGA.

Results
For the total energy, the calculation gives -4.1103 eV/atom. For the formation energy, the calculation gives -0.18 eV/atom. As for the density of states at the Fermi level: 0.570 states/eV per atom. Its space group is P4/mmm, No. 123.

```
LuGaCu2
1.0
-2.8393 -0.4366 1.6873
1.4617 -2.3531 1.8509
1.7341 4.2343 4.0137
Cu Lu Ga
2 1 1
Cartesian
0.3824 0.9337 0.8851 Cu
1.3517 3.3005 3.1286 Cu
0.1782 0.7223 3.7760 Lu
-0.6888 -1.3949 1.7691 Ga
```


A relaxed structure of LuGaCu2. Source: Alexandria via LeMat-Bulk, functional PBE-GGA.

Results
For the total energy, the calculation gives -4.2907 eV/atom. For the formation energy, the calculation gives -0.36 eV/atom. As for the density of states at the Fermi level: 0.650 states/eV per atom. Its space group is Fm-3m, No. 225.

```
LuGaCu2
1.0
-1.4896 2.8696 3.1091
-4.0091 1.9504 -0.4922
-3.4019 -1.1703 2.6790
Ga Lu Cu
1 1 2
Cartesian
-6.6755 2.7372 3.9719 Ga
-2.2252 0.9124 1.3240 Lu
-8.8973 3.6483 5.2939 Cu
-4.4537 1.8262 2.6499 Cu
```


A relaxed structure of LuGa2Cu. Source: Alexandria via LeMat-Bulk, functional PBE-GGA.

Results
For the total energy, the calculation gives -4.0860 eV/atom. For the formation energy, the calculation gives -0.42 eV/atom. As for the density of states at the Fermi level: 0.397 states/eV per atom. Its space group is R-3m, No. 166.

```
LuGa2Cu
1.0
4.1230 0.0000 0.0000
2.0615 3.5706 0.0000
2.0615 1.1902 4.9761
Ga Lu Cu
2 1 1
Cartesian
6.1845 3.5706 3.2400 Ga
2.0615 1.1902 1.7361 Ga
0.0000 0.0000 0.0000 Lu
4.1230 2.3804 2.4880 Cu
```


A relaxed structure of LuMgGaCu. Source: Alexandria via LeMat-Bulk, functional PBE-GGA.

Results
For the total energy, the calculation gives -3.6614 eV/atom. For the formation energy, the calculation gives -0.35 eV/atom. As for the density of states at the Fermi level: 0.586 states/eV per atom. Its space group is F-43m, No. 216.

```
LuMgGaCu
1.0
-1.2172 -1.5535 -4.2832
1.2689 -4.3248 -1.3883
-3.2549 -3.3838 -0.4441
Mg Lu Cu Ga
1 1 1 1
Cartesian
0.0000 0.0000 0.0000 Mg
-1.6016 -4.6311 -3.0578 Lu
-0.8008 -2.3155 -1.5289 Cu
-2.4024 -6.9466 -4.5867 Ga
```


A relaxed structure of LuGaCuO4. Source: Alexandria via LeMat-Bulk, functional PBE-GGA.

Results
The calculation puts the uncorrected formation energy at -2.077 eV per atom. For the total energy, the calculation gives -6.5733 eV/atom. As for the density of states at the Fermi level: 0.288 states/eV per atom. Its space group is R3m, No. 160.

```
LuGaCuO4
1.0
8.3122 0.0104 0.0062
7.5779 3.4158 0.0062
7.5779 1.6339 2.9997
Ga Cu Lu O
1 1 1 4
Cartesian
18.4725 3.9830 2.3709 Ga
4.9787 1.0735 0.6390 Cu
23.4006 5.0455 3.0034 Lu
20.3507 4.3879 2.6119 O
16.6395 3.5877 2.1356 O
2.9271 0.6311 0.3757 O
6.8824 1.4839 0.8833 O
```